[1]
Compound: Rb2Cd4Pt
Source: the Alexandria database
Functional: GGA-PBE
Structure: optimized geometry

abc: 5.364 5.383 8.547
angles: 108.35 90.00 90.00
Positions (direct):
Pt 0.000 0.000 0.000
Cd 0.000 0.831 0.663
Cd 0.000 0.500 0.000
Cd 0.500 0.000 0.000
Cd 0.000 0.169 0.337
Rb 0.500 0.346 0.693
Rb 0.500 0.654 0.307

Calculated values
- Final energy: -1.8092 eV/atom
- DOS(E_F): 2.76 states/eV/f.u.
- Mass density: 5783 kg/m³
- Polymorph energy (0 for the lowest one): 0.00 eV/f.u.
- Formation energy: -147 meV per atom
- Space group: Cmmm, No. 65
- Crystal system: orthorhombic

=====

[2]
Compound: Ba5TlZn4
Source: the Alexandria database
Functional: GGA-PBE
Structure: optimized geometry

abc: 4.152 4.152 20.711
angles: 90.00 90.00 90.00
Positions (direct):
Zn 0.000 0.000 0.795
Zn 0.000 0.000 0.402
Zn 0.000 0.000 0.205
Zn 0.000 0.000 0.598
Ba 0.500 0.500 0.893
Ba 0.500 0.500 0.303
Ba 0.500 0.500 0.500
Ba 0.500 0.500 0.107
Ba 0.500 0.500 0.697
Tl 0.000 0.000 0.000

Calculated values
- Final energy: -1.9191 eV/atom
- DOS(E_F): 6.57 states/eV/f.u.
- Mass density: 5360 kg/m³
- Formation energy: -212 meV per atom
- Space group: P4/mmm, No. 123
- Crystal system: tetragonal

=====

[3]
Compound: Y2Er5Tm12
Source: the Alexandria database
Functional: GGA-PBE
Structure: optimized geometry

abc: 7.020 6.938 16.171
angles: 115.25 90.00 120.39
Positions (direct):
Er 0.248 0.496 0.001
Er 0.000 0.000 0.500
Er 0.752 0.504 0.999
Er 0.543 0.086 0.198
Er 0.457 0.914 0.802
Tm 0.461 0.447 0.391
Tm 0.954 0.909 0.810
Tm 0.539 0.553 0.609
Tm 0.497 0.994 0.593
Tm 0.053 0.617 0.213
Tm 0.947 0.383 0.787
Tm 0.503 0.006 0.407
Tm 0.985 0.447 0.391
Tm 0.564 0.617 0.213
Tm 0.046 0.091 0.190
Tm 0.436 0.383 0.787
Tm 0.015 0.553 0.609
Y 0.748 0.000 0.000
Y 0.252 0.000 0.000

Calculated values
- Final energy: -4.5727 eV/atom
- DOS(E_F): 28.44 states/eV/f.u.
- Mass density: 8553 kg/m³
- Polymorph energy (0 for the lowest one): 0.07 eV/f.u.
- Formation energy: 133 meV per atom
- Space group: C2/m, No. 12
- Crystal system: monoclinic

=====

[4]
Compound: BaWAu2
Source: the Alexandria database
Functional: GGA-PBE
Structure: optimized geometry

abc: 6.304 6.304 6.304
angles: 151.61 129.78 58.69
Positions (direct):
Au 0.772 0.272 0.500
Au 0.009 0.009 0.000
W 0.221 0.721 0.500
Ba 0.498 0.498 0.000

Calculated values
- Final energy: -4.6999 eV/atom
- DOS(E_F): 4.08 states/eV/f.u.
- Mass density: 13064 kg/m³
- Polymorph energy (0 for the lowest one): 1.73 eV/f.u.
- Formation energy: 658 meV per atom
- Space group: Imm2, No. 44
- Crystal system: orthorhombic

=====

[5]
Compound: NaSr2Rh
Source: the Alexandria database
Functional: GGA-PBE
Structure: optimized geometry

abc: 4.316 7.573 8.960
angles: 93.99 90.00 106.56
Positions (direct):
Rh 0.408 0.816 0.457
Rh 0.592 0.184 0.543
Na 0.371 0.742 0.052
Na 0.629 0.258 0.948
Sr 0.964 0.928 0.691
Sr 0.036 0.072 0.309
Sr 0.227 0.453 0.661
Sr 0.773 0.547 0.339

Calculated values
- Final energy: -3.1572 eV/atom
- DOS(E_F): 2.48 states/eV/f.u.
- Mass density: 3572 kg/m³
- Polymorph energy (0 for the lowest one): 0.00 eV/f.u.
- Formation energy: -149 meV per atom
- Space group: C2/m, No. 12
- Crystal system: monoclinic

=====

[6]
Compound: SiSb2
Source: the Alexandria database
Functional: GGA-PBE
Structure: optimized geometry

abc: 5.859 5.859 5.859
angles: 100.92 100.92 128.39
Positions (direct):
Sb 0.347 0.153 0.500
Sb 0.847 0.347 0.194
Sb 0.153 0.653 0.806
Sb 0.653 0.847 0.500
Si 0.750 0.750 0.000
Si 0.250 0.250 0.000

Calculated values
- Final energy: -4.1471 eV/atom
- DOS(E_F): 1.68 states/eV/f.u.
- Mass density: 6357 kg/m³
- Polymorph energy (0 for the lowest one): 0.68 eV/f.u.
- Space group: I4/mcm, No. 140
- Crystal system: tetragonal

=====

[7]
Compound: Ba2CaAl
Source: the Alexandria database
Functional: GGA-PBE
Structure: optimized geometry

abc: 12.464 12.464 12.464
angles: 19.25 19.25 19.25
Positions (direct):
Ca 0.250 0.250 0.250
Al 0.750 0.750 0.750
Ba 0.485 0.485 0.485
Ba 0.015 0.015 0.015

Calculated values
- Final energy: -2.2731 eV/atom
- DOS(E_F): 5.10 states/eV/f.u.
- Mass density: 3085 kg/m³
- Formation energy: 124 meV per atom
- Space group: R-3m, No. 166
- Crystal system: trigonal

=====

[8]
Compound: CsZr3Cl
Source: the Alexandria database
Functional: GGA-PBE
Structure: optimized geometry

abc: 5.355 5.355 5.355
angles: 90.00 90.00 90.00
Positions (direct):
Cs 0.000 0.000 0.000
Zr 0.000 0.000 0.500
Zr 0.000 0.500 0.000
Zr 0.500 0.000 0.000
Cl 0.500 0.500 0.500

Calculated values
- Final energy: -3.6255 eV/atom
- DOS(E_F): 8.68 states/eV/f.u.
- Mass density: 4780 kg/m³
- Polymorph energy (0 for the lowest one): 6.98 eV/f.u.
- Space group: Pm-3m, No. 221
- Crystal system: cubic

=====

[9]
Compound: Si2Hg2Au
Source: the Alexandria database
Functional: GGA-PBE
Structure: optimized geometry

abc: 3.449 3.449 8.901
angles: 78.83 78.83 90.00
Positions (direct):
Si 0.250 0.750 0.500
Si 0.750 0.250 0.500
Hg 0.399 0.399 0.203
Hg 0.601 0.601 0.797
Au 0.000 0.000 0.000

Calculated values
- Final energy: -2.6436 eV/atom
- DOS(E_F): 1.41 states/eV/f.u.
- Mass density: 10670 kg/m³
- Polymorph energy (0 for the lowest one): 1.05 eV/f.u.
- Space group: I4/mmm, No. 139
- Crystal system: tetragonal

=====

[10]
Compound: YMg6Cd12
Source: the Alexandria database
Functional: GGA-PBE
Structure: optimized geometry

abc: 8.178 8.178 8.178
angles: 105.95 105.95 105.95
Positions (direct):
Mg 0.696 0.696 0.295
Mg 0.304 0.705 0.304
Mg 0.304 0.304 0.705
Mg 0.705 0.304 0.304
Mg 0.295 0.696 0.696
Mg 0.696 0.295 0.696
Cd 0.115 0.356 0.356
Cd 0.644 0.644 0.885
Cd 0.356 0.356 0.115
Cd 0.500 0.889 0.111
Cd 0.111 0.500 0.889
Cd 0.889 0.500 0.111
Cd 0.889 0.111 0.500
Cd 0.356 0.115 0.356
Cd 0.111 0.889 0.500
Cd 0.644 0.885 0.644
Cd 0.885 0.644 0.644
Cd 0.500 0.111 0.889
Y 0.000 0.000 0.000

Calculated values
- Final energy: -1.3963 eV/atom
- DOS(E_F): 9.99 states/eV/f.u.
- Mass density: 5620 kg/m³
- Formation energy: 25 meV per atom
- Space group: R-3m, No. 166
- Crystal system: trigonal

=====

[11]
Compound: ThCoNi
Source: the Alexandria database
Functional: GGA-PBE
Structure: optimized geometry

abc: 3.901 4.027 4.027
angles: 120.00 90.00 90.00
Positions (direct):
Co 0.167 0.333 0.667
Ni 0.166 0.000 0.000
Th 0.667 0.667 0.333

Calculated values
- Final energy: -7.0802 eV/atom
- DOS(E_F): 2.98 states/eV/f.u.
- Mass density: 10600 kg/m³
- Formation energy: -311 meV per atom
- Space group: P-6m2, No. 187
- Crystal system: hexagonal

=====

[12]
Compound: CeScMnGa
Source: the Alexandria database
Functional: GGA-PBE
Structure: optimized geometry

abc: 4.894 4.894 4.894
angles: 60.00 60.00 60.00
Positions (direct):
Sc 0.500 0.500 0.500
Ga 0.250 0.250 0.250
Mn 0.750 0.750 0.750
Ce 0.000 0.000 0.000

Calculated values
- Final energy: -6.2707 eV/atom
- DOS(E_F): 5.27 states/eV/f.u.
- Mass density: 6204 kg/m³
- Formation energy: -155 meV per atom
- Space group: F-43m, No. 216
- Crystal system: cubic

=====

[13]
Compound: DyErSc2Rh4
Source: the Alexandria database
Functional: GGA-PBE
Structure: optimized geometry

abc: 4.701 4.701 8.135
angles: 73.21 73.21 60.00
Positions (direct):
Er 0.500 0.500 0.500
Rh 0.625 0.625 0.126
Rh 0.125 0.125 0.624
Rh 0.375 0.375 0.874
Rh 0.875 0.875 0.376
Sc 0.250 0.250 0.251
Sc 0.750 0.750 0.749
Dy 0.000 0.000 0.000

Calculated values
- Final energy: -7.3468 eV/atom
- DOS(E_F): 3.08 states/eV/f.u.
- Mass density: 9405 kg/m³
- Formation energy: -943 meV per atom
- Space group: R-3m, No. 166
- Crystal system: trigonal

=====

[14]
Compound: LiTmAlZn
Source: the Alexandria database
Functional: GGA-PBE
Structure: optimized geometry

abc: 4.646 4.646 4.646
angles: 60.00 60.00 60.00
Positions (direct):
Tm 0.250 0.250 0.250
Li 0.500 0.500 0.500
Zn 0.000 0.000 0.000
Al 0.750 0.750 0.750

Calculated values
- Final energy: -3.1243 eV/atom
- DOS(E_F): 1.59 states/eV/f.u.
- Mass density: 6283 kg/m³
- Formation energy: -274 meV per atom
- Space group: F-43m, No. 216
- Crystal system: cubic

=====

[15]
Compound: AcSnPt
Source: the Alexandria database
Functional: GGA-PBE
Structure: optimized geometry

abc: 4.621 6.127 6.518
angles: 76.29 69.24 67.84
Positions (direct):
Ac 0.560 0.206 0.673
Ac 0.440 0.794 0.327
Pt 0.163 0.373 0.301
Pt 0.837 0.627 0.699
Sn 0.172 0.741 0.915
Sn 0.828 0.259 0.085

Calculated values
- Final energy: -5.6602 eV/atom
- DOS(E_F): 2.04 states/eV/f.u.
- Mass density: 11317 kg/m³
- Polymorph energy (0 for the lowest one): 0.07 eV/f.u.
- Formation energy: -943 meV per atom
- Space group: C2/m, No. 12
- Crystal system: monoclinic

=====

[16]
Compound: Sr2Ag2Bi
Source: the Alexandria database
Functional: GGA-PBE
Structure: optimized geometry

abc: 8.080 8.080 4.638
angles: 90.00 90.00 90.00
Positions (direct):
Ag 0.120 0.380 0.000
Ag 0.380 0.880 0.000
Ag 0.620 0.120 0.000
Ag 0.880 0.620 0.000
Bi 0.500 0.500 0.000
Bi 0.000 0.000 0.000
Sr 0.317 0.183 0.500
Sr 0.683 0.817 0.500
Sr 0.183 0.683 0.500
Sr 0.817 0.317 0.500

Calculated values
- Final energy: -3.0368 eV/atom
- DOS(E_F): 2.02 states/eV/f.u.
- Mass density: 6581 kg/m³
- Polymorph energy (0 for the lowest one): 0.00 eV/f.u.
- Formation energy: -447 meV per atom
- Space group: P4/mbm, No. 127
- Crystal system: tetragonal

=====

[17]
Compound: ZrWBr
Source: the Alexandria database
Functional: GGA-PBE
Structure: optimized geometry

abc: 3.107 3.107 7.772
angles: 90.00 90.00 120.00
Positions (direct):
Zr 0.333 0.667 0.684
W 0.667 0.333 0.371
Br 0.000 0.000 0.946

Calculated values
- Final energy: -7.2999 eV/atom
- DOS(E_F): 3.29 states/eV/f.u.
- Mass density: 9072 kg/m³
- Polymorph energy (0 for the lowest one): 0.12 eV/f.u.
- Space group: P3m1, No. 156
- Crystal system: trigonal

=====

[18]
Compound: Sm4Y3ErTe8
Source: the Alexandria database
Functional: GGA-PBE
Structure: optimized geometry

abc: 8.752 8.850 8.752
angles: 119.63 120.00 90.00
Positions (direct):
Te 0.252 0.257 0.505
Te 0.251 0.259 0.005
Te 0.754 0.259 0.005
Te 0.246 0.741 0.995
Te 0.749 0.741 0.995
Te 0.748 0.743 0.495
Te 0.754 0.259 0.508
Te 0.246 0.741 0.492
Sm 0.500 0.000 0.500
Sm 0.000 0.000 0.500
Sm 0.500 0.000 0.000
Sm 0.000 0.000 0.000
Y 0.000 0.500 0.500
Y 0.500 0.500 0.500
Y 0.500 0.500 0.000
Er 0.000 0.500 0.000

Calculated values
- Final energy: -5.5804 eV/atom
- DOS(E_F): 12.26 states/eV/f.u.
- Mass density: 7085 kg/m³
- Space group: R-3m, No. 166
- Crystal system: trigonal

=====

[19]
Compound: SmY2Ge2Pt7
Source: the Alexandria database
Functional: GGA-PBE
Structure: optimized geometry

abc: 4.085 4.085 14.104
angles: 83.35 83.35 89.28
Positions (direct):
Pt 0.436 0.936 0.159
Pt 0.638 0.638 0.567
Pt 0.362 0.362 0.433
Pt 0.936 0.436 0.159
Pt 0.064 0.564 0.841
Pt 0.500 0.500 0.000
Pt 0.564 0.064 0.841
Ge 0.396 0.396 0.260
Ge 0.604 0.604 0.740
Sm 0.000 0.000 0.000
Y 0.875 0.875 0.359
Y 0.125 0.125 0.641

Calculated values
- Final energy: -6.7130 eV/atom
- DOS(E_F): 5.03 states/eV/f.u.
- Mass density: 13149 kg/m³
- Formation energy: -949 meV per atom
- Space group: C2/m, No. 12
- Crystal system: monoclinic

=====

[20]
Compound: NbPdSe2
Source: the Alexandria database
Functional: GGA-PBE
Structure: optimized geometry

abc: 3.443 6.112 8.705
angles: 106.72 90.00 106.36
Positions (direct):
Se 0.653 0.306 0.147
Se 0.347 0.694 0.853
Se 0.579 0.159 0.682
Se 0.421 0.841 0.318
Pd 0.649 0.297 0.435
Pd 0.351 0.703 0.565
Nb 0.148 0.296 0.917
Nb 0.852 0.704 0.083

Calculated values
- Final energy: -5.9678 eV/atom
- DOS(E_F): 2.50 states/eV/f.u.
- Mass density: 7075 kg/m³
- Polymorph energy (0 for the lowest one): 0.69 eV/f.u.
- Space group: C2/m, No. 12
- Crystal system: monoclinic